{
  "formula": "NiTePIr",
  "functional": "GGA-PBE",
  "state": "optimized geometry",
  "lattice": [[3.429, 0.000, 0.000], [0.000, 3.372, 0.000], [0.000, 0.000, 11.854]],
  "species": ["Ni", "Ni", "Te", "Te", "P", "P", "Ir", "Ir"],
  "fractional_positions": [[0.000, 0.000, 0.000], [0.000, 0.500, 0.500], [0.000, 0.000, 0.214], [0.000, 0.500, 0.714], [0.500, 0.000, 0.473], [0.500, 0.500, 0.973], [0.500, 0.000, 0.833], [0.500, 0.500, 0.333]],
  "dos_ef_per_ev_cell": 3.1,
  "spacegroup": "Amm2, No. 38",
  "e_form_raw_mev_per_atom": -140
}